## 1
# PBE LaAlSbI2, optimized geometry
data_LaAlSbI2
_cell_length_a 5.450
_cell_length_b 5.450
_cell_length_c 5.598
_cell_angle_alpha 90.00
_cell_angle_beta 90.00
_cell_angle_gamma 90.00
_space_group_name_H-M_alt 'P 4/m m m'
_space_group_IT_number 123
_space_group_name_Hall '-P 4 2'
loop_
_atom_site_label
_atom_site_type_symbol
_atom_site_fract_x
_atom_site_fract_y
_atom_site_fract_z
_atom_site_occupancy
La1 La 0.000 0.000 0.000 1
Al1 Al 0.500 0.500 0.500 1
Sb1 Sb 0.500 0.500 0.000 1
I1 I 0.000 0.500 0.500 1
# - crystal system = tetragonal
# - theoretical density (kg/m³) = 5407
# - total moment (μB per formula unit) = 0.265

---

## 2
# PBE LaAlSbI2, optimized geometry
data_LaAlSbI2
_cell_length_a 6.230
_cell_length_b 6.230
_cell_length_c 6.268
_cell_angle_alpha 90.00
_cell_angle_beta 90.00
_cell_angle_gamma 90.00
_space_group_name_H-M_alt 'P 4/m m m'
_space_group_IT_number 123
_space_group_name_Hall '-P 4 2'
loop_
_atom_site_label
_atom_site_type_symbol
_atom_site_fract_x
_atom_site_fract_y
_atom_site_fract_z
_atom_site_occupancy
La1 La 0.000 0.000 0.000 1
Al1 Al 0.500 0.500 0.500 1
Sb1 Sb 0.000 0.000 0.500 1
I1 I 0.000 0.500 0.000 1
# - crystal system = tetragonal
# - theoretical density (kg/m³) = 3696
# - total moment (μB per formula unit) = 0.726

---

Unit: meV/atom. Relative energies: 1 0; 2 98.

---

## 1
# PBE LaAlSb2I, optimized geometry
data_LaAlSb2I
_cell_length_a 6.112
_cell_length_b 6.112
_cell_length_c 6.241
_cell_angle_alpha 90.00
_cell_angle_beta 90.00
_cell_angle_gamma 90.00
_space_group_name_H-M_alt 'P 4/m m m'
_space_group_IT_number 123
_space_group_name_Hall '-P 4 2'
loop_
_atom_site_label
_atom_site_type_symbol
_atom_site_fract_x
_atom_site_fract_y
_atom_site_fract_z
_atom_site_occupancy
La1 La 0.000 0.000 0.000 1
Al1 Al 0.500 0.500 0.500 1
Sb1 Sb 0.000 0.500 0.000 1
I1 I 0.000 0.000 0.500 1
# - crystal system = tetragonal
# - theoretical density (kg/m³) = 3821
# - total moment (μB per formula unit) = 0.132

---

## 2
# PBE LaAlSb2I, optimized geometry
data_LaAlSb2I
_cell_length_a 5.291
_cell_length_b 5.291
_cell_length_c 5.657
_cell_angle_alpha 90.00
_cell_angle_beta 90.00
_cell_angle_gamma 90.00
_space_group_name_H-M_alt 'P 4/m m m'
_space_group_IT_number 123
_space_group_name_Hall '-P 4 2'
loop_
_atom_site_label
_atom_site_type_symbol
_atom_site_fract_x
_atom_site_fract_y
_atom_site_fract_z
_atom_site_occupancy
La1 La 0.000 0.000 0.000 1
Al1 Al 0.500 0.500 0.500 1
Sb1 Sb 0.000 0.500 0.500 1
I1 I 0.500 0.500 0.000 1
# - crystal system = tetragonal
# - theoretical density (kg/m³) = 5623
# - total moment (μB per formula unit) = 0.000

---

Unit: meV/atom. Relative energies: 1 485; 2 0.

---

## 1
# PBE Li2AlI, optimized geometry
data_Li2AlI
_cell_length_a 7.248
_cell_length_b 7.248
_cell_length_c 7.248
_cell_angle_alpha 90.00
_cell_angle_beta 90.00
_cell_angle_gamma 90.00
_space_group_name_H-M_alt 'F m -3 m'
_space_group_IT_number 225
_space_group_name_Hall '-F 4 2 3'
loop_
_atom_site_label
_atom_site_type_symbol
_atom_site_fract_x
_atom_site_fract_y
_atom_site_fract_z
_atom_site_occupancy
Li1 Li 0.250 0.250 0.250 1
Al1 Al 0.000 0.000 0.000 1
I1 I 0.000 0.000 0.500 1
# - crystal system = cubic
# - theoretical density (kg/m³) = 2926
# - total moment (μB per formula unit) = 0.000

---

## 2
# PBE Li2AlI, optimized geometry
data_Li2AlI
_cell_length_a 7.682
_cell_length_b 7.682
_cell_length_c 6.704
_cell_angle_alpha 90.00
_cell_angle_beta 90.00
_cell_angle_gamma 90.00
_space_group_name_H-M_alt 'I -4 2 d'
_space_group_IT_number 122
_space_group_name_Hall 'I -4 2bw'
loop_
_atom_site_label
_atom_site_type_symbol
_atom_site_fract_x
_atom_site_fract_y
_atom_site_fract_z
_atom_site_occupancy
Li1 Li 0.235 0.750 0.125 1
Al1 Al 0.000 0.000 0.500 1
I1 I 0.000 0.000 0.000 1
# - crystal system = tetragonal
# - theoretical density (kg/m³) = 2817
# - total moment (μB per formula unit) = 0.000

---

Unit: meV/atom. Relative energies: 1 159; 2 0.

---

## 1
# PBE LiAlI4, optimized geometry
data_LiAlI4
_cell_length_a 6.810
_cell_length_b 6.810
_cell_length_c 11.463
_cell_angle_alpha 90.00
_cell_angle_beta 90.00
_cell_angle_gamma 90.00
_space_group_name_H-M_alt 'I -4'
_space_group_IT_number 82
loop_
_space_group_symop_operation_xyz
'x,y,z'
'y,-x,-z'
'-x,-y,z'
'-y,x,-z'
'x+1/2,y+1/2,z+1/2'
'y+1/2,-x+1/2,-z+1/2'
'-x+1/2,-y+1/2,z+1/2'
'-y+1/2,x+1/2,-z+1/2'
loop_
_atom_site_label
_atom_site_type_symbol
_atom_site_fract_x
_atom_site_fract_y
_atom_site_fract_z
_atom_site_occupancy
Li1 Li 0.000 0.000 0.000 1
Al1 Al 0.000 0.500 0.250 1
I1 I 0.221 0.722 0.376 1
# - crystal system = tetragonal
# - theoretical density (kg/m³) = 3383
# - total moment (μB per formula unit) = 0.000

---

## 2
# PBE LiAlI4, optimized geometry
data_LiAlI4
_cell_length_a 8.025
_cell_length_b 8.025
_cell_length_c 10.487
_cell_angle_alpha 90.00
_cell_angle_beta 90.00
_cell_angle_gamma 90.00
_space_group_name_H-M_alt 'P 42/m m c'
_space_group_IT_number 131
_space_group_name_Hall '-P 4c 2'
loop_
_atom_site_label
_atom_site_type_symbol
_atom_site_fract_x
_atom_site_fract_y
_atom_site_fract_z
_atom_site_occupancy
Li1 Li 0.000 0.000 0.000 1
Al1 Al 0.000 0.500 0.000 1
I1 I 0.233 0.267 0.000 1
# - crystal system = tetragonal
# - theoretical density (kg/m³) = 2663
# - total moment (μB per formula unit) = 0.000

---

Unit: meV/atom. Relative energies: 1 0; 2 231.

---

## 1
# PBE LiAl2I, optimized geometry
data_LiAl2I
_cell_length_a 7.461
_cell_length_b 7.461
_cell_length_c 7.461
_cell_angle_alpha 90.00
_cell_angle_beta 90.00
_cell_angle_gamma 90.00
_space_group_name_H-M_alt 'F m -3 m'
_space_group_IT_number 225
_space_group_name_Hall '-F 4 2 3'
loop_
_atom_site_label
_atom_site_type_symbol
_atom_site_fract_x
_atom_site_fract_y
_atom_site_fract_z
_atom_site_occupancy
Li1 Li 0.000 0.000 0.000 1
Al1 Al 0.250 0.250 0.250 1
I1 I 0.000 0.000 0.500 1
# - crystal system = cubic
# - theoretical density (kg/m³) = 3003
# - total moment (μB per formula unit) = 0.000

---

## 2
# PBE LiAl2I, optimized geometry
data_LiAl2I
_cell_length_a 8.480
_cell_length_b 8.480
_cell_length_c 5.526
_cell_angle_alpha 90.00
_cell_angle_beta 90.00
_cell_angle_gamma 90.00
_space_group_name_H-M_alt 'I -4 2 d'
_space_group_IT_number 122
_space_group_name_Hall 'I -4 2bw'
loop_
_atom_site_label
_atom_site_type_symbol
_atom_site_fract_x
_atom_site_fract_y
_atom_site_fract_z
_atom_site_occupancy
Li1 Li 0.000 0.000 0.000 1
Al1 Al 0.233 0.750 0.125 1
I1 I 0.000 0.000 0.500 1
# - crystal system = tetragonal
# - theoretical density (kg/m³) = 3139
# - total moment (μB per formula unit) = 0.000

---

Unit: meV/atom. Relative energies: 1 308; 2 0.

---

## 1
# PBE LiAlIN2, optimized geometry
data_LiAlIN2
_cell_length_a 3.765
_cell_length_b 3.765
_cell_length_c 6.560
_cell_angle_alpha 90.00
_cell_angle_beta 90.00
_cell_angle_gamma 90.00
_space_group_name_H-M_alt 'P 4/m m m'
_space_group_IT_number 123
_space_group_name_Hall '-P 4 2'
loop_
_atom_site_label
_atom_site_type_symbol
_atom_site_fract_x
_atom_site_fract_y
_atom_site_fract_z
_atom_site_occupancy
Li1 Li 0.000 0.000 0.000 1
Al1 Al 0.500 0.500 0.500 1
I1 I 0.500 0.500 0.000 1
N1 N 0.000 0.500 0.500 1
# - crystal system = tetragonal
# - theoretical density (kg/m³) = 3372
# - total moment (μB per formula unit) = 1.126

---

## 2
# PBE LiAlIN2, optimized geometry
data_LiAlIN2
_cell_length_a 4.281
_cell_length_b 4.281
_cell_length_c 5.393
_cell_angle_alpha 90.00
_cell_angle_beta 90.00
_cell_angle_gamma 90.00
_space_group_name_H-M_alt 'P 4/m m m'
_space_group_IT_number 123
_space_group_name_Hall '-P 4 2'
loop_
_atom_site_label
_atom_site_type_symbol
_atom_site_fract_x
_atom_site_fract_y
_atom_site_fract_z
_atom_site_occupancy
Li1 Li 0.000 0.000 0.000 1
Al1 Al 0.500 0.500 0.500 1
I1 I 0.000 0.000 0.500 1
N1 N 0.000 0.500 0.000 1
# - crystal system = tetragonal
# - theoretical density (kg/m³) = 3173
# - total moment (μB per formula unit) = 4.507

---

Unit: meV/atom. Relative energies: 1 0; 2 1232.

---

## 1
# PBE LiAlIO2, optimized geometry
data_LiAlIO2
_cell_length_a 3.665
_cell_length_b 3.665
_cell_length_c 6.474
_cell_angle_alpha 90.00
_cell_angle_beta 90.00
_cell_angle_gamma 90.00
_space_group_name_H-M_alt 'P 4/m m m'
_space_group_IT_number 123
_space_group_name_Hall '-P 4 2'
loop_
_atom_site_label
_atom_site_type_symbol
_atom_site_fract_x
_atom_site_fract_y
_atom_site_fract_z
_atom_site_occupancy
Li1 Li 0.000 0.000 0.000 1
Al1 Al 0.500 0.500 0.500 1
I1 I 0.500 0.500 0.000 1
O1 O 0.000 0.500 0.500 1
# - crystal system = tetragonal
# - theoretical density (kg/m³) = 3683
# - total moment (μB per formula unit) = 0.000

---

## 2
# PBE LiAlIO2, optimized geometry
data_LiAlIO2
_cell_length_a 3.916
_cell_length_b 3.916
_cell_length_c 5.091
_cell_angle_alpha 90.00
_cell_angle_beta 90.00
_cell_angle_gamma 90.00
_space_group_name_H-M_alt 'P 4/m m m'
_space_group_IT_number 123
_space_group_name_Hall '-P 4 2'
loop_
_atom_site_label
_atom_site_type_symbol
_atom_site_fract_x
_atom_site_fract_y
_atom_site_fract_z
_atom_site_occupancy
Li1 Li 0.000 0.000 0.000 1
Al1 Al 0.500 0.500 0.500 1
I1 I 0.000 0.000 0.500 1
O1 O 0.000 0.500 0.000 1
# - crystal system = tetragonal
# - theoretical density (kg/m³) = 4101
# - total moment (μB per formula unit) = 0.000

---

Unit: meV/atom. Relative energies: 1 0; 2 1531.

---

## 1
# PBE LiAlI2O, optimized geometry
data_LiAlI2O
_cell_length_a 5.510
_cell_length_b 5.510
_cell_length_c 3.702
_cell_angle_alpha 90.00
_cell_angle_beta 90.00
_cell_angle_gamma 90.00
_space_group_name_H-M_alt 'P 4/m m m'
_space_group_IT_number 123
_space_group_name_Hall '-P 4 2'
loop_
_atom_site_label
_atom_site_type_symbol
_atom_site_fract_x
_atom_site_fract_y
_atom_site_fract_z
_atom_site_occupancy
Li1 Li 0.000 0.000 0.000 1
Al1 Al 0.500 0.500 0.500 1
I1 I 0.000 0.500 0.000 1
O1 O 0.000 0.000 0.500 1
# - crystal system = tetragonal
# - theoretical density (kg/m³) = 4488
# - total moment (μB per formula unit) = 0.000

---

## 2
# PBE LiAlI2O, optimized geometry
data_LiAlI2O
_cell_length_a 5.772
_cell_length_b 5.772
_cell_length_c 3.549
_cell_angle_alpha 90.00
_cell_angle_beta 90.00
_cell_angle_gamma 90.00
_space_group_name_H-M_alt 'P 4/m m m'
_space_group_IT_number 123
_space_group_name_Hall '-P 4 2'
loop_
_atom_site_label
_atom_site_type_symbol
_atom_site_fract_x
_atom_site_fract_y
_atom_site_fract_z
_atom_site_occupancy
Li1 Li 0.000 0.000 0.000 1
Al1 Al 0.500 0.500 0.500 1
I1 I 0.000 0.500 0.500 1
O1 O 0.500 0.500 0.000 1
# - crystal system = tetragonal
# - theoretical density (kg/m³) = 4265
# - total moment (μB per formula unit) = 0.000

---

Unit: meV/atom. Relative energies: 1 1058; 2 0.